Record 1
Entry from Alexandria via LeMat-Bulk: TbDy6Tm2Sc after structural relaxation (GGA-PBE).

Results
uncorrected energy: -4.62 eV per atom
formation energy from the elements: 1.3 eV per formula unit

a = 9.342 Å, b = 8.655 Å, c = 8.655 Å
α = 117.18°, β = 93.61°, γ = 93.61°
Sites, in units of the cell vectors:
Dy: 0.689 0.005 0.562
Sc: 0.750 0.586 0.414
Tm: 0.548 0.202 0.305
Tm: 0.452 0.798 0.695
Dy: 0.811 0.438 0.995
Sc: 0.250 0.414 0.586
Dy: 0.555 0.755 0.125
Dy: 0.189 0.562 0.005
Tm: 0.952 0.695 0.798
Dy: 0.055 0.125 0.755
Dy: 0.884 0.292 0.508
Dy: 0.384 0.508 0.292
Dy: 0.445 0.245 0.875
Tm: 0.048 0.305 0.202
Tb: 0.750 0.024 0.976
Dy: 0.116 0.708 0.492
Dy: 0.616 0.492 0.708
Dy: 0.945 0.875 0.245
Dy: 0.311 0.995 0.438
Tb: 0.250 0.976 0.024

Record 2
Entry from Alexandria via LeMat-Bulk: TbDyTm5Sc2 after structural relaxation (GGA-PBE).

Results
uncorrected energy: -4.75 eV per atom
formation energy from the elements: 1.5 eV per formula unit

a = 5.524 Å, b = 10.928 Å, c = 9.250 Å
α = 90.00°, β = 90.00°, γ = 104.64°
Sites, in units of the cell vectors:
Tm: 0.990 0.979 0.517
Dy: 0.598 0.195 0.919
Tm: 0.531 0.062 0.248
Sc: 0.862 0.724 0.198
Tm: 0.264 0.529 0.336
Tm: 0.392 0.783 0.045
Dy: 0.402 0.805 0.419
Tb: 0.186 0.373 0.018
Tm: 0.693 0.385 0.220
Sc: 0.113 0.225 0.324
Tb: 0.814 0.627 0.518
Sc: 0.138 0.276 0.698
Tm: 0.608 0.217 0.545
Tm: 0.307 0.615 0.720
Tm: 0.469 0.938 0.748
Tm: 0.736 0.471 0.836
Sc: 0.887 0.775 0.824
Tm: 0.010 0.021 0.017

Record 3
Entry from Alexandria via LeMat-Bulk: Tb6DyTm2Sc after structural relaxation (GGA-PBE).

Results
uncorrected energy: -4.64 eV per atom
formation energy from the elements: 1.3 eV per formula unit

a = 9.351 Å, b = 8.686 Å, c = 8.686 Å
α = 117.24°, β = 93.60°, γ = 93.60°
Sites, in units of the cell vectors:
Sc: 0.250 0.415 0.585
Tb: 0.054 0.124 0.757
Dy: 0.250 0.976 0.024
Tb: 0.689 0.004 0.562
Sc: 0.750 0.585 0.415
Tm: 0.548 0.202 0.305
Dy: 0.750 0.024 0.976
Tm: 0.048 0.305 0.202
Tb: 0.884 0.292 0.508
Tm: 0.952 0.695 0.798
Tb: 0.189 0.562 0.004
Tb: 0.811 0.438 0.996
Tb: 0.311 0.996 0.438
Tb: 0.384 0.508 0.292
Tm: 0.452 0.798 0.695
Tb: 0.554 0.757 0.124
Tb: 0.946 0.876 0.243
Tb: 0.116 0.708 0.492
Tb: 0.616 0.492 0.708
Tb: 0.446 0.243 0.876

Record 4
Entry from Alexandria via LeMat-Bulk: Tb2DyTm6Sc after structural relaxation (GGA-PBE).

Results
uncorrected energy: -4.58 eV per atom
formation energy from the elements: 1.3 eV per formula unit

a = 9.368 Å, b = 8.582 Å, c = 8.582 Å
α = 117.50°, β = 94.11°, γ = 94.11°
Sites, in units of the cell vectors:
Tm: 0.443 0.251 0.872
Tm: 0.189 0.569 0.011
Dy: 0.750 0.021 0.979
Tb: 0.547 0.199 0.303
Tm: 0.311 0.989 0.431
Tm: 0.383 0.504 0.292
Tm: 0.057 0.128 0.749
Tb: 0.953 0.697 0.801
Tm: 0.689 0.011 0.569
Tb: 0.453 0.801 0.697
Dy: 0.250 0.979 0.021
Sc: 0.250 0.411 0.589
Tm: 0.943 0.872 0.251
Tb: 0.047 0.303 0.199
Tm: 0.117 0.708 0.496
Tm: 0.617 0.496 0.708
Tm: 0.811 0.431 0.989
Tm: 0.557 0.749 0.128
Tm: 0.883 0.292 0.504
Sc: 0.750 0.589 0.411

Record 5
Entry from Alexandria via LeMat-Bulk: TbDy5TmSc2 after structural relaxation (GGA-PBE).

Results
uncorrected energy: -4.81 eV per atom
formation energy from the elements: 1.5 eV per formula unit

a = 5.571 Å, b = 11.021 Å, c = 9.302 Å
α = 90.00°, β = 90.00°, γ = 104.64°
Sites, in units of the cell vectors:
Tb: 0.184 0.369 0.017
Sc: 0.887 0.773 0.825
Dy: 0.608 0.216 0.547
Sc: 0.866 0.731 0.202
Tm: 0.598 0.197 0.921
Dy: 0.012 0.023 0.011
Dy: 0.392 0.784 0.047
Dy: 0.265 0.530 0.333
Sc: 0.134 0.269 0.702
Dy: 0.469 0.937 0.748
Dy: 0.306 0.613 0.718
Dy: 0.735 0.470 0.833
Tb: 0.816 0.631 0.517
Dy: 0.988 0.977 0.511
Dy: 0.694 0.387 0.218
Dy: 0.531 0.063 0.248
Sc: 0.113 0.227 0.325
Tm: 0.402 0.803 0.421

Record 6
Entry from Alexandria via LeMat-Bulk: Tb3Dy6TmSc2 after structural relaxation (GGA-PBE).

Results
uncorrected energy: -4.85 eV per atom
formation energy from the elements: 0.4 eV per formula unit

a = 6.064 Å, b = 6.064 Å, c = 11.551 Å
α = 95.01°, β = 95.01°, γ = 119.95°
Sites, in units of the cell vectors:
Dy: 0.583 0.918 0.757
Dy: 0.082 0.417 0.243
Tb: 0.167 0.833 0.500
Tb: 0.500 0.500 0.500
Dy: 0.918 0.583 0.757
Tm: 0.000 0.000 0.000
Dy: 0.746 0.746 0.243
Sc: 0.333 0.667 0.000
Dy: 0.254 0.254 0.757
Tb: 0.833 0.167 0.500
Dy: 0.417 0.082 0.243
Sc: 0.667 0.333 0.000

How do the records compare in D(E_F)? In the order shown, they have 1.371; 1.523; 1.360; 1.262; 1.515; 1.432 states/eV/atom.